(1)
VASP calculation (PBE) on Hf3MnBr after structural relaxation.

* offset from the most stable computed form: 1.95 eV/f.u.
* total magnetic moment: 3.63 Bohr magnetons per cell
* formation energy without anion corrections: 4.10 eV/f.u.
* density: 9.5 g/cm3
* SG: No. 221

abc: 4.8899 4.8899 4.8899
angles: 90.00 90.00 90.00
Last column: nearest neighbours and their distance in Å.
Fractional coordinates of all 5 atoms:
Br (0.0000, 0.0000, 0.0000)  6 Hf 2.44
Mn (0.5000, 0.5000, 0.5000)  12 Hf 3.46
Hf (0.0000, 0.5000, 0.0000)  2 Br 2.44
Hf (0.5000, 0.0000, 0.0000)  2 Br 2.44
Hf (0.0000, 0.0000, 0.5000)  2 Br 2.44

=====

(2)
VASP calculation (PBE) on InBW2 after structural relaxation.

* offset from the most stable computed form: 0.11 eV/f.u.
* total magnetic moment: 0.00 Bohr magnetons per cell
* density: 13.7 g/cm3
* SG: No. 225
* ΔE_f: 4.90 eV/f.u.

abc: 4.3848 4.3848 4.3848
angles: 60.00 60.00 60.00
Last column: nearest neighbours and their distance in Å.
Fractional coordinates of all 4 atoms:
In (0.5000, 0.5000, 0.5000)  8 W 2.69
W (0.2500, 0.2500, 0.2500)  4 In 2.69, 4 B 2.69
B (0.0000, 0.0000, 0.0000)  8 W 2.69
W (0.7500, 0.7500, 0.7500)  4 In 2.69, 4 B 2.69

=====

(3)
VASP calculation (PBE) on CeNdCo2P2 after structural relaxation.

* total magnetic moment: 0.00 Bohr magnetons per cell
* density: 7.2 g/cm3
* SG: No. 164
* ΔE_f: -6.30 eV/f.u.

abc: 3.9055 3.9055 8.0547
angles: 90.00 90.00 120.00
Last column: nearest neighbours and their distance in Å.
Fractional coordinates of all 6 atoms:
Ce (0.0000, 0.0000, 0.5000)  6 Co 2.91, 6 P 3.04
Nd (0.0000, 0.0000, 0.0000)  6 P 3.01, 6 Co 3.14
Co (0.3333, 0.6667, 0.7284)  3 P 2.26
Co (0.6667, 0.3333, 0.2716)  3 P 2.26
P (0.3333, 0.6667, 0.2472)  3 Co 2.26
P (0.6667, 0.3333, 0.7528)  3 Co 2.26

=====

(4)
VASP calculation (PBE) on Np2Be4Si3Tc after structural relaxation.

* total magnetic moment: 7.72 Bohr magnetons per cell
* formation energy without anion corrections: -1.63 eV/f.u.
* density: 8.1 g/cm3
* SG: No. 115

abc: 3.8437 3.8437 9.6333
angles: 90.00 90.00 90.00
Last column: nearest neighbours and their distance in Å.
Fractional coordinates of all 10 atoms:
Be (0.0000, 0.0000, 0.0000)  4 Si 2.30
Si (0.0000, 0.0000, 0.5000)  4 Be 2.33
Np (0.0000, 0.5000, 0.7482)  8 Be 2.93-3.09, 6 Si 2.96-3.07, 2 Tc 3.07
Tc (0.5000, 0.5000, 0.5000)  4 Be 2.33
Be (0.0000, 0.5000, 0.3641)  3 Si 2.24-2.33, 2 Tc 2.33
Np (0.5000, 0.0000, 0.2518)  8 Be 2.93-3.09, 6 Si 2.96-3.07, 2 Tc 3.07
Be (0.5000, 0.0000, 0.6359)  3 Si 2.24-2.33, 2 Tc 2.33
Be (0.5000, 0.5000, 0.0000)  4 Si 2.30
Si (0.0000, 0.5000, 0.1314)  5 Be 2.24-2.30
Si (0.5000, 0.0000, 0.8686)  5 Be 2.24-2.30

=====

(5)
VASP calculation (PBE) on ZrRe2Hg after structural relaxation.

* total magnetic moment: 0.00 Bohr magnetons per cell
* density: 15.4 g/cm3
* SG: No. 166
* ΔE_f: 2.49 eV/f.u.

abc: 10.1242 10.1242 10.1242
angles: 16.34 16.34 16.34
Last column: nearest neighbours and their distance in Å.
Fractional coordinates of all 4 atoms:
Zr (0.2500, 0.2500, 0.2500)  6 Zr 2.88, 6 Re 3.02
Re (0.0007, 0.0007, 0.0007)  6 Re 2.88, 3 Hg 2.98, 3 Zr 3.02
Re (0.4993, 0.4993, 0.4993)  6 Re 2.88, 3 Hg 2.98, 3 Zr 3.02
Hg (0.7500, 0.7500, 0.7500)  6 Hg 2.88, 6 Re 2.98

=====

(6)
VASP calculation (PBE) on ReTe2Ir after structural relaxation.

* offset from the most stable computed form: 2.06 eV/f.u.
* total magnetic moment: 0.00 Bohr magnetons per cell
* formation energy without anion corrections: 2.95 eV/f.u.
* density: 13.4 g/cm3
* SG: No. 44

abc: 6.0220 6.0220 6.0220
angles: 150.66 132.15 57.13
Last column: nearest neighbours and their distance in Å.
Fractional coordinates of all 4 atoms:
Ir (0.4769, 0.4769, 0.0000)  2 Re 2.67, 4 Te 2.93
Re (0.2701, 0.7701, 0.5000)  2 Ir 2.67, 6 Te 2.92-2.98
Te (0.7251, 0.2251, 0.5000)  4 Re 2.92, 2 Ir 3.04, 4 Te 3.05-3.21
Te (0.0279, 0.0279, 0.0000)  4 Ir 2.93, 2 Re 2.98, 4 Te 3.05-3.21

=====

(7)
VASP calculation (PBE) on BaHgRh3 after structural relaxation.

* offset from the most stable computed form: 4.37 eV/f.u.
* total magnetic moment: 1.35 Bohr magnetons per cell
* density: 8.0 g/cm3
* SG: No. 221
* ΔE_f: 8.36 eV/f.u.

abc: 5.1160 5.1160 5.1160
angles: 90.00 90.00 90.00
Last column: nearest neighbours and their distance in Å.
Fractional coordinates of all 5 atoms:
Ba (0.0000, 0.0000, 0.0000)  6 Rh 2.56
Hg (0.5000, 0.5000, 0.5000)  12 Rh 3.62
Rh (0.0000, 0.5000, 0.0000)  2 Ba 2.56
Rh (0.0000, 0.0000, 0.5000)  2 Ba 2.56
Rh (0.5000, 0.0000, 0.0000)  2 Ba 2.56

=====

(8)
VASP calculation (PBE) on ReSb3O after structural relaxation.

* offset from the most stable computed form: 1.44 eV/f.u.
* total magnetic moment: 0.00 Bohr magnetons per cell
* formation energy without anion corrections: 4.29 eV/f.u.
* density: 7.1 g/cm3
* SG: No. 221

abc: 5.1026 5.1026 5.1026
angles: 90.00 90.00 90.00
Last column: nearest neighbours and their distance in Å.
Fractional coordinates of all 5 atoms:
Sb (0.5000, 0.0000, 0.0000)  2 Re 2.55
Sb (0.0000, 0.5000, 0.0000)  2 Re 2.55
O (0.5000, 0.5000, 0.5000)  12 Sb 3.61
Sb (0.0000, 0.0000, 0.5000)  2 Re 2.55
Re (0.0000, 0.0000, 0.0000)  6 Sb 2.55

=====

In the order shown, the computed E_tot values come out to -7.321 -7.605 -7.006 -6.906 -7.814 -6.161 -3.183 -5.097 eV per atom.